(1)
# RbBeTc2Se | the Alexandria database | PBE | relaxed
data_RbBeTc2Se
_chemical_formula_sum 'Rb1 Be1 Tc2 Se1'
_symmetry_space_group_name_H-M 'P 1'
_symmetry_Int_Tables_number 1
_cell_length_a 4.992
_cell_length_b 5.738
_cell_length_c 4.992
_cell_angle_alpha 90.00
_cell_angle_beta 90.00
_cell_angle_gamma 90.00
loop_
_symmetry_equiv_pos_as_xyz
'x,y,z'
loop_
_atom_site_label
_atom_site_type_symbol
_atom_site_fract_x
_atom_site_fract_y
_atom_site_fract_z
Tc1 Tc 0.000 0.000 0.500
Tc2 Tc 0.500 0.000 0.000
Rb1 Rb 0.000 0.000 0.000
Se1 Se 0.000 0.500 0.000
Be1 Be 0.500 0.500 0.500
# * symmetry: P4/mmm (123)
# * ΔE_f (raw): 3.043 eV per atom

---

(2)
# RbBeTcSe2 | the Alexandria database | PBE | relaxed
data_RbBeTcSe2
_chemical_formula_sum 'Rb1 Be1 Tc1 Se2'
_symmetry_space_group_name_H-M 'P 1'
_symmetry_Int_Tables_number 1
_cell_length_a 5.052
_cell_length_b 4.555
_cell_length_c 5.052
_cell_angle_alpha 90.00
_cell_angle_beta 90.00
_cell_angle_gamma 90.00
loop_
_symmetry_equiv_pos_as_xyz
'x,y,z'
loop_
_atom_site_label
_atom_site_type_symbol
_atom_site_fract_x
_atom_site_fract_y
_atom_site_fract_z
Rb1 Rb 0.500 0.500 0.500
Se1 Se 0.000 0.000 0.500
Se2 Se 0.500 0.000 0.000
Tc1 Tc 0.000 0.500 0.000
Be1 Be 0.000 0.000 0.000
# * symmetry: P4/mmm (123)
# * ΔE_f (raw): 0.459 eV per atom

---

(3)
# Rb2TiBeSe4 | the Alexandria database | PBE | relaxed
data_Rb2TiBeSe4
_chemical_formula_sum 'Rb4 Ti2 Be2 Se8'
_symmetry_space_group_name_H-M 'P 1'
_symmetry_Int_Tables_number 1
_cell_length_a 5.702
_cell_length_b 7.645
_cell_length_c 12.873
_cell_angle_alpha 85.26
_cell_angle_beta 77.20
_cell_angle_gamma 68.10
loop_
_symmetry_equiv_pos_as_xyz
'x,y,z'
loop_
_atom_site_label
_atom_site_type_symbol
_atom_site_fract_x
_atom_site_fract_y
_atom_site_fract_z
Rb1 Rb 0.822 0.000 0.356
Rb2 Rb 0.572 0.500 0.856
Rb3 Rb 0.928 0.500 0.144
Rb4 Rb 0.178 0.000 0.644
Se1 Se 0.870 0.685 0.604
Se2 Se 0.526 0.315 0.604
Se3 Se 0.445 0.685 0.396
Se4 Se 0.591 0.185 0.104
Se5 Se 0.880 0.815 0.896
Se6 Se 0.159 0.315 0.396
Se7 Se 0.224 0.185 0.896
Se8 Se 0.305 0.815 0.104
Ti1 Ti 0.000 0.000 0.000
Ti2 Ti 0.750 0.500 0.500
Be1 Be 0.500 0.000 0.000
Be2 Be 0.250 0.500 0.500
# * symmetry: Fddd (70)
# * ΔE_f (raw): -1.161 eV per atom

---

(4)
# RbBeTlSe2 | the Alexandria database | PBE | relaxed
data_RbBeTlSe2
_chemical_formula_sum 'Rb2 Be2 Tl2 Se4'
_symmetry_space_group_name_H-M 'P 1'
_symmetry_Int_Tables_number 1
_cell_length_a 5.078
_cell_length_b 7.652
_cell_length_c 9.050
_cell_angle_alpha 92.92
_cell_angle_beta 90.00
_cell_angle_gamma 90.00
loop_
_symmetry_equiv_pos_as_xyz
'x,y,z'
loop_
_atom_site_label
_atom_site_type_symbol
_atom_site_fract_x
_atom_site_fract_y
_atom_site_fract_z
Se1 Se 0.177 0.772 0.436
Se2 Se 0.823 0.772 0.936
Se3 Se 0.823 0.228 0.564
Se4 Se 0.177 0.228 0.064
Rb1 Rb 0.284 0.500 0.750
Rb2 Rb 0.716 0.500 0.250
Tl1 Tl 0.438 0.000 0.750
Tl2 Tl 0.562 0.000 0.250
Be1 Be 0.000 0.000 0.500
Be2 Be 0.000 0.000 0.000
# * symmetry: P2/c (13)
# * ΔE_f (raw): -0.647 eV per atom

---

(5)
# RbTmBeSe3 | the Alexandria database | PBE | relaxed
data_RbTmBeSe3
_chemical_formula_sum 'Rb2 Tm2 Be2 Se6'
_symmetry_space_group_name_H-M 'P 1'
_symmetry_Int_Tables_number 1
_cell_length_a 3.993
_cell_length_b 9.527
_cell_length_c 9.676
_cell_angle_alpha 111.19
_cell_angle_beta 90.00
_cell_angle_gamma 90.00
loop_
_symmetry_equiv_pos_as_xyz
'x,y,z'
loop_
_atom_site_label
_atom_site_type_symbol
_atom_site_fract_x
_atom_site_fract_y
_atom_site_fract_z
Rb1 Rb 0.750 0.791 0.762
Rb2 Rb 0.250 0.209 0.238
Se1 Se 0.250 0.530 0.834
Se2 Se 0.250 0.118 0.844
Se3 Se 0.750 0.882 0.156
Se4 Se 0.750 0.173 0.534
Se5 Se 0.250 0.827 0.466
Se6 Se 0.750 0.470 0.166
Tm1 Tm 0.750 0.332 0.856
Tm2 Tm 0.250 0.668 0.144
Be1 Be 0.250 0.078 0.604
Be2 Be 0.750 0.922 0.396
# * symmetry: P2_1/m (11)
# * ΔE_f (raw): -1.398 eV per atom

---

(6)
# Rb2TmBe2Se4 | the Alexandria database | PBE | relaxed
data_Rb2TmBe2Se4
_chemical_formula_sum 'Rb2 Tm1 Be2 Se4'
_symmetry_space_group_name_H-M 'P 1'
_symmetry_Int_Tables_number 1
_cell_length_a 3.860
_cell_length_b 7.930
_cell_length_c 9.403
_cell_angle_alpha 116.79
_cell_angle_beta 101.84
_cell_angle_gamma 90.00
loop_
_symmetry_equiv_pos_as_xyz
'x,y,z'
loop_
_atom_site_label
_atom_site_type_symbol
_atom_site_fract_x
_atom_site_fract_y
_atom_site_fract_z
Be1 Be 0.628 0.039 0.257
Be2 Be 0.372 0.961 0.743
Rb1 Rb 0.139 0.609 0.278
Rb2 Rb 0.861 0.391 0.722
Se1 Se 0.478 0.236 0.956
Se2 Se 0.822 0.817 0.643
Se3 Se 0.178 0.183 0.357
Se4 Se 0.522 0.764 0.044
Tm1 Tm 0.000 0.000 0.000
# * symmetry: C2/m (12)
# * ΔE_f (raw): -1.095 eV per atom

---

(7)
# Rb2UBeSe5 | the Alexandria database | PBE | relaxed
data_Rb2UBeSe5
_chemical_formula_sum 'Rb4 U2 Be2 Se10'
_symmetry_space_group_name_H-M 'P 1'
_symmetry_Int_Tables_number 1
_cell_length_a 4.054
_cell_length_b 10.256
_cell_length_c 14.688
_cell_angle_alpha 90.00
_cell_angle_beta 90.00
_cell_angle_gamma 101.40
loop_
_symmetry_equiv_pos_as_xyz
'x,y,z'
loop_
_atom_site_label
_atom_site_type_symbol
_atom_site_fract_x
_atom_site_fract_y
_atom_site_fract_z
Se1 Se 0.065 0.130 0.011
Se2 Se 0.691 0.383 0.889
Se3 Se 0.309 0.617 0.389
Se4 Se 0.935 0.870 0.511
Se5 Se 0.303 0.606 0.647
Se6 Se 0.484 0.967 0.308
Se7 Se 0.327 0.653 0.008
Se8 Se 0.697 0.394 0.147
Se9 Se 0.673 0.347 0.508
Se10 Se 0.516 0.033 0.808
Rb1 Rb 0.120 0.240 0.327
Rb2 Rb 0.122 0.244 0.688
Rb3 Rb 0.878 0.756 0.188
Rb4 Rb 0.880 0.760 0.827
U1 U 0.801 0.603 0.520
U2 U 0.199 0.397 0.020
Be1 Be 0.420 0.840 0.425
Be2 Be 0.580 0.160 0.925
# * symmetry: Cmc2_1 (36)
# * ΔE_f (raw): -0.978 eV per atom

---

(8)
# Rb2YBe2Se4 | the Alexandria database | PBE | relaxed
data_Rb2YBe2Se4
_chemical_formula_sum 'Rb2 Y1 Be2 Se4'
_symmetry_space_group_name_H-M 'P 1'
_symmetry_Int_Tables_number 1
_cell_length_a 3.890
_cell_length_b 8.304
_cell_length_c 7.925
_cell_angle_alpha 109.49
_cell_angle_beta 104.20
_cell_angle_gamma 90.00
loop_
_symmetry_equiv_pos_as_xyz
'x,y,z'
loop_
_atom_site_label
_atom_site_type_symbol
_atom_site_fract_x
_atom_site_fract_y
_atom_site_fract_z
Se1 Se 0.466 0.231 0.932
Se2 Se 0.534 0.769 0.068
Se3 Se 0.204 0.142 0.409
Se4 Se 0.796 0.858 0.591
Rb1 Rb 0.131 0.541 0.261
Rb2 Rb 0.869 0.459 0.739
Be1 Be 0.669 0.979 0.338
Be2 Be 0.331 0.021 0.662
Y1 Y 0.000 0.000 0.000
# * symmetry: C2/m (12)
# * ΔE_f (raw): -1.065 eV per atom

---

(9)
# Rb2BeSi | the Alexandria database | PBE | relaxed
data_Rb2BeSi
_chemical_formula_sum 'Rb2 Be1 Si1'
_symmetry_space_group_name_H-M 'P 1'
_symmetry_Int_Tables_number 1
_cell_length_a 5.979
_cell_length_b 5.979
_cell_length_c 5.979
_cell_angle_alpha 60.00
_cell_angle_beta 60.00
_cell_angle_gamma 60.00
loop_
_symmetry_equiv_pos_as_xyz
'x,y,z'
loop_
_atom_site_label
_atom_site_type_symbol
_atom_site_fract_x
_atom_site_fract_y
_atom_site_fract_z
Rb1 Rb 0.750 0.750 0.750
Rb2 Rb 0.250 0.250 0.250
Si1 Si 0.500 0.500 0.500
Be1 Be 0.000 0.000 0.000
# * symmetry: Fm-3m (225)
# * ΔE_f (raw): 1.048 eV per atom

---

(10)
# RbBe2Si2 | the Alexandria database | PBE | relaxed
data_RbBe2Si2
_chemical_formula_sum 'Rb1 Be2 Si2'
_symmetry_space_group_name_H-M 'P 1'
_symmetry_Int_Tables_number 1
_cell_length_a 4.173
_cell_length_b 4.173
_cell_length_c 5.847
_cell_angle_alpha 69.10
_cell_angle_beta 69.10
_cell_angle_gamma 90.00
loop_
_symmetry_equiv_pos_as_xyz
'x,y,z'
loop_
_atom_site_label
_atom_site_type_symbol
_atom_site_fract_x
_atom_site_fract_y
_atom_site_fract_z
Rb1 Rb 0.000 0.000 0.000
Si1 Si 0.629 0.629 0.742
Si2 Si 0.371 0.371 0.258
Be1 Be 0.250 0.750 0.500
Be2 Be 0.750 0.250 0.500
# * symmetry: I4/mmm (139)
# * ΔE_f (raw): 0.329 eV per atom

---

(11)
# Rb3BeSi | the Alexandria database | PBE | relaxed
data_Rb3BeSi
_chemical_formula_sum 'Rb3 Be1 Si1'
_symmetry_space_group_name_H-M 'P 1'
_symmetry_Int_Tables_number 1
_cell_length_a 6.806
_cell_length_b 6.806
_cell_length_c 6.806
_cell_angle_alpha 90.00
_cell_angle_beta 90.00
_cell_angle_gamma 90.00
loop_
_symmetry_equiv_pos_as_xyz
'x,y,z'
loop_
_atom_site_label
_atom_site_type_symbol
_atom_site_fract_x
_atom_site_fract_y
_atom_site_fract_z
Rb1 Rb 0.000 0.000 0.500
Rb2 Rb 0.500 0.000 0.000
Rb3 Rb 0.000 0.500 0.000
Si1 Si 0.000 0.000 0.000
Be1 Be 0.500 0.500 0.500
# * symmetry: Pm-3m (221)
# * ΔE_f (raw): 0.911 eV per atom

---

(12)
# Rb2BeSi | the Alexandria database | PBE | relaxed
data_Rb2BeSi
_chemical_formula_sum 'Rb4 Be2 Si2'
_symmetry_space_group_name_H-M 'P 1'
_symmetry_Int_Tables_number 1
_cell_length_a 13.097
_cell_length_b 13.097
_cell_length_c 9.493
_cell_angle_alpha 46.38
_cell_angle_beta 46.38
_cell_angle_gamma 90.00
loop_
_symmetry_equiv_pos_as_xyz
'x,y,z'
loop_
_atom_site_label
_atom_site_type_symbol
_atom_site_fract_x
_atom_site_fract_y
_atom_site_fract_z
Si1 Si 0.000 0.000 0.000
Si2 Si 0.750 0.250 0.500
Be1 Be 0.500 0.500 0.000
Be2 Be 0.250 0.750 0.500
Rb1 Rb 0.339 0.625 0.250
Rb2 Rb 0.875 0.661 0.750
Rb3 Rb 0.375 0.589 0.750
Rb4 Rb 0.411 0.125 0.250
# * symmetry: I-42d (122)
# * ΔE_f (raw): 0.277 eV per atom